Entry from the Alexandria database: an optimized crystal structure of V12GaSi6 (PBE).

```
19
Lattice="-3.7045 -5.1367 -0.0090 4.2169 -3.0091 -3.6432 2.9490 -2.1101 5.1924" Properties=species:S:1:pos:R:3 pbc="T T T"
V 4.2376 -7.8238 1.0382
Si -1.1777 -4.8445 -0.3850
Ga 0.0000 0.0000 0.0000
V 1.9618 -8.7405 0.0486
V 0.4444 -6.6118 0.2919
Si 1.8210 -6.9231 -1.8073
V 1.4995 -1.5155 1.4916
V 0.0825 -4.5534 1.7889
V 2.2400 -5.6510 2.6547
V -0.7763 -2.4322 0.5019
Si 3.4478 -3.4092 -1.2225
Si 0.0135 -6.8468 2.7626
Si 1.6403 -3.3329 3.3474
V 3.3789 -5.7026 -0.2488
V 1.2214 -4.6050 -1.1146
V 1.2774 -1.9801 -1.1033
V 3.0170 -3.6442 1.2482
V 2.1839 -8.2759 2.6435
Si 4.6391 -5.4115 1.9251
```

Output
ΔE_f (raw)   -275 meV per atom
Calculated volume   13.370 A^3/atom
Calculated total energy   -7.91 eV per atom
Space-group type   No. 148